# 1
# YThIr4 | Alexandria via LeMat-Bulk | PBE | relaxed
# Volume ... 18.7 Å³/atom
# Energy relative to the elements ... -0.81 eV/atom
# Crystal system ... cubic
# Energy ... -9.03 eV/atom
data_YThIr4
_cell_length_a 7.659
_cell_length_b 7.659
_cell_length_c 7.659
_cell_angle_alpha 90.00
_cell_angle_beta 90.00
_cell_angle_gamma 90.00
_symmetry_space_group_name_H-M 'F -4 3 m'
_symmetry_Int_Tables_number 216
_symmetry_space_group_name_Hall 'F -4 2 3'
loop_
_atom_site_label
_atom_site_type_symbol
_atom_site_fract_x
_atom_site_fract_y
_atom_site_fract_z
Y1 Y 0.000 0.000 0.000
Th1 Th 0.250 0.250 0.750
Ir1 Ir 0.126 0.126 0.374

# 2
# YTh2Ir9 | Alexandria via LeMat-Bulk | PBE | relaxed
# Volume ... 18.4 Å³/atom
# Energy relative to the elements ... -0.62 eV/atom
# Crystal system ... trigonal
# Energy ... -9.04 eV/atom
data_YTh2Ir9
_cell_length_a 5.3445
_cell_length_b 5.3445
_cell_length_c 26.7803
_cell_angle_alpha 90.00
_cell_angle_beta 90.00
_cell_angle_gamma 120.00
_symmetry_space_group_name_H-M 'R -3 m'
_symmetry_Int_Tables_number 166
_symmetry_space_group_name_Hall '-R 3 2"'
loop_
_atom_site_label
_atom_site_type_symbol
_atom_site_fract_x
_atom_site_fract_y
_atom_site_fract_z
Y1 Y 0.0000 0.0000 0.0000
Th1 Th 0.0000 0.0000 0.1378
Ir1 Ir 0.0000 0.0000 0.3326
Ir2 Ir 0.0000 0.0000 0.5000
Ir3 Ir 0.0000 0.5000 0.0811

# 3
# Y5ThIr6 | Alexandria via LeMat-Bulk | PBE | relaxed
# Volume ... 20.8 Å³/atom
# Energy relative to the elements ... -0.80 eV/atom
# Crystal system ... orthorhombic
# Energy ... -8.54 eV/atom
data_Y5ThIr6
_cell_length_a 4.831
_cell_length_b 14.473
_cell_length_c 7.138
_cell_angle_alpha 90.00
_cell_angle_beta 90.00
_cell_angle_gamma 90.00
_symmetry_space_group_name_H-M 'C m m m'
_symmetry_Int_Tables_number 65
_symmetry_space_group_name_Hall '-C 2 2'
loop_
_atom_site_label
_atom_site_type_symbol
_atom_site_fract_x
_atom_site_fract_y
_atom_site_fract_z
Y1 Y 0.000 0.000 0.000
Y2 Y 0.000 0.330 0.500
Y3 Y 0.000 0.332 0.000
Th1 Th 0.000 0.000 0.500
Ir1 Ir 0.000 0.165 0.250
Ir2 Ir 0.000 0.500 0.250

# 4
# YTh2Ir | Alexandria via LeMat-Bulk | PBE | relaxed
# Volume ... 28.4 Å³/atom
# Energy relative to the elements ... -0.51 eV/atom
# Crystal system ... orthorhombic
# Energy ... -8.05 eV/atom
data_YTh2Ir
_cell_length_a 7.213
_cell_length_b 10.118
_cell_length_c 6.231
_cell_angle_alpha 90.00
_cell_angle_beta 90.00
_cell_angle_gamma 90.00
_symmetry_space_group_name_H-M 'P n m a'
_symmetry_Int_Tables_number 62
loop_
_symmetry_equiv_pos_as_xyz
'x,y,z'
'-x,-y,-z'
'-x+1/2,-y,z+1/2'
'x+1/2,y,-z+1/2'
'x+1/2,-y+1/2,-z+1/2'
'-x+1/2,y+1/2,z+1/2'
'-x,y+1/2,-z'
'x,-y+1/2,z'
loop_
_atom_site_label
_atom_site_type_symbol
_atom_site_fract_x
_atom_site_fract_y
_atom_site_fract_z
Y1 Y 0.039 0.250 0.150
Th1 Th 0.177 0.061 0.657
Ir1 Ir 0.115 0.750 0.394

# 5
# YTh2Ir | Alexandria via LeMat-Bulk | PBE | relaxed
# Volume ... 33.7 Å³/atom
# Energy relative to the elements ... -0.12 eV/atom
# Crystal system ... trigonal
# Energy ... -7.66 eV/atom
data_YTh2Ir
_cell_length_a 3.8881
_cell_length_b 3.8881
_cell_length_c 30.9250
_cell_angle_alpha 90.00
_cell_angle_beta 90.00
_cell_angle_gamma 120.00
_symmetry_space_group_name_H-M 'R -3 m'
_symmetry_Int_Tables_number 166
_symmetry_space_group_name_Hall '-R 3 2"'
loop_
_atom_site_label
_atom_site_type_symbol
_atom_site_fract_x
_atom_site_fract_y
_atom_site_fract_z
Y1 Y 0.0000 0.0000 0.0000
Th1 Th 0.0000 0.0000 0.1113
Ir1 Ir 0.0000 0.0000 0.5000

# 6
# Y2ThIr | Alexandria via LeMat-Bulk | PBE | relaxed
# Volume ... 28.2 Å³/atom
# Energy relative to the elements ... -0.55 eV/atom
# Crystal system ... orthorhombic
# Energy ... -7.86 eV/atom
data_Y2ThIr
_cell_length_a 7.200
_cell_length_b 9.681
_cell_length_c 6.482
_cell_angle_alpha 90.00
_cell_angle_beta 90.00
_cell_angle_gamma 90.00
_symmetry_space_group_name_H-M 'P n m a'
_symmetry_Int_Tables_number 62
loop_
_symmetry_equiv_pos_as_xyz
'x,y,z'
'-x,-y,-z'
'-x+1/2,-y,z+1/2'
'x+1/2,y,-z+1/2'
'x+1/2,-y+1/2,-z+1/2'
'-x+1/2,y+1/2,z+1/2'
'-x,y+1/2,-z'
'x,-y+1/2,z'
loop_
_atom_site_label
_atom_site_type_symbol
_atom_site_fract_x
_atom_site_fract_y
_atom_site_fract_z
Y1 Y 0.176 0.066 0.168
Th1 Th 0.041 0.250 0.655
Ir1 Ir 0.128 0.750 0.952

# 7
# Y3ThIr3 | Alexandria via LeMat-Bulk | PBE | relaxed
# Volume ... 25.4 Å³/atom
# Energy relative to the elements ... -0.76 eV/atom
# Crystal system ... trigonal
# Energy ... -8.39 eV/atom
data_Y3ThIr3
_cell_length_a 8.5024
_cell_length_b 8.5024
_cell_length_c 17.0498
_cell_angle_alpha 90.00
_cell_angle_beta 90.00
_cell_angle_gamma 120.00
_symmetry_space_group_name_H-M 'R -3'
_symmetry_Int_Tables_number 148
_symmetry_space_group_name_Hall '-R 3'
loop_
_atom_site_label
_atom_site_type_symbol
_atom_site_fract_x
_atom_site_fract_y
_atom_site_fract_z
Y1 Y 0.0149 0.7362 0.1039
Th1 Th 0.0000 0.0000 0.3278
Ir1 Ir 0.0071 0.6306 0.9380

# 8
# Y3ThIr8 | Alexandria via LeMat-Bulk | PBE | relaxed
# Volume ... 18.4 Å³/atom
# Energy relative to the elements ... -0.78 eV/atom
# Crystal system ... trigonal
# Energy ... -8.92 eV/atom
data_Y3ThIr8
_cell_length_a 5.3990
_cell_length_b 5.3990
_cell_length_c 8.7682
_cell_angle_alpha 90.00
_cell_angle_beta 90.00
_cell_angle_gamma 120.00
_symmetry_space_group_name_H-M 'P 3 m 1'
_symmetry_Int_Tables_number 156
loop_
_symmetry_equiv_pos_as_xyz
'x,y,z'
'-y,x-y,z'
'-x+y,-x,z'
'-y,-x,z'
'-x+y,y,z'
'x,x-y,z'
loop_
_atom_site_label
_atom_site_type_symbol
_atom_site_fract_x
_atom_site_fract_y
_atom_site_fract_z
Y1 Y 0.0000 0.0000 0.0000
Y2 Y 0.0000 0.0000 0.3615
Y3 Y 0.3333 0.6667 0.8733
Th1 Th 0.3333 0.6667 0.5055
Ir1 Ir 0.0060 0.5030 0.1838
Ir2 Ir 0.3268 0.1634 0.6864
Ir3 Ir 0.6667 0.3333 0.4337
Ir4 Ir 0.6667 0.3333 0.9356

# 9
# YTh2Ir | Alexandria via LeMat-Bulk | PBE | relaxed
# Volume ... 28.4 Å³/atom
# Energy relative to the elements ... -0.50 eV/atom
# Crystal system ... orthorhombic
# Energy ... -8.05 eV/atom
data_YTh2Ir
_cell_length_a 3.848
_cell_length_b 11.713
_cell_length_c 10.083
_cell_angle_alpha 90.00
_cell_angle_beta 90.00
_cell_angle_gamma 90.00
_symmetry_space_group_name_H-M 'C m c m'
_symmetry_Int_Tables_number 63
_symmetry_space_group_name_Hall '-C 2c 2'
loop_
_atom_site_label
_atom_site_type_symbol
_atom_site_fract_x
_atom_site_fract_y
_atom_site_fract_z
Y1 Y 0.000 0.083 0.250
Th1 Th 0.000 0.362 0.061
Ir1 Ir 0.000 0.210 0.750

# 10
# YTh3Ir8 | Alexandria via LeMat-Bulk | PBE | relaxed
# Volume ... 18.9 Å³/atom
# Energy relative to the elements ... -0.81 eV/atom
# Crystal system ... trigonal
# Energy ... -9.11 eV/atom
data_YTh3Ir8
_cell_length_a 5.4344
_cell_length_b 5.4344
_cell_length_c 26.6383
_cell_angle_alpha 90.00
_cell_angle_beta 90.00
_cell_angle_gamma 120.00
_symmetry_space_group_name_H-M 'R 3 m'
_symmetry_Int_Tables_number 160
_symmetry_space_group_name_Hall 'R 3 -2"'
loop_
_atom_site_label
_atom_site_type_symbol
_atom_site_fract_x
_atom_site_fract_y
_atom_site_fract_z
Y1 Y 0.0000 0.0000 0.0000
Th1 Th 0.0000 0.0000 0.3723
Th2 Th 0.0000 0.0000 0.4979
Th3 Th 0.0000 0.0000 0.8757
Ir1 Ir 0.0000 0.0000 0.1865
Ir2 Ir 0.0000 0.0000 0.6862
Ir3 Ir 0.0000 0.5000 0.4362
Ir4 Ir 0.1674 0.3347 0.2702

# 11
# Y2ThIr | Alexandria via LeMat-Bulk | PBE | relaxed
# Volume ... 26.4 Å³/atom
# Energy relative to the elements ... -0.37 eV/atom
# Crystal system ... tetragonal
# Energy ... -7.67 eV/atom
data_Y2ThIr
_cell_length_a 3.498
_cell_length_b 3.498
_cell_length_c 8.639
_cell_angle_alpha 90.00
_cell_angle_beta 90.00
_cell_angle_gamma 90.00
_symmetry_space_group_name_H-M 'P 4/m m m'
_symmetry_Int_Tables_number 123
_symmetry_space_group_name_Hall '-P 4 2'
loop_
_atom_site_label
_atom_site_type_symbol
_atom_site_fract_x
_atom_site_fract_y
_atom_site_fract_z
Y1 Y 0.000 0.000 0.191
Th1 Th 0.500 0.500 0.500
Ir1 Ir 0.500 0.500 0.000

# 12
# YTh2Ir | Alexandria via LeMat-Bulk | PBE | relaxed
# Volume ... 31.2 Å³/atom
# Energy relative to the elements ... -0.36 eV/atom
# Crystal system ... trigonal
# Energy ... -7.90 eV/atom
data_YTh2Ir
_cell_length_a 3.9862
_cell_length_b 3.9862
_cell_length_c 27.2389
_cell_angle_alpha 90.00
_cell_angle_beta 90.00
_cell_angle_gamma 120.00
_symmetry_space_group_name_H-M 'R 3 m'
_symmetry_Int_Tables_number 160
_symmetry_space_group_name_Hall 'R 3 -2"'
loop_
_atom_site_label
_atom_site_type_symbol
_atom_site_fract_x
_atom_site_fract_y
_atom_site_fract_z
Y1 Y 0.0000 0.0000 0.0000
Th1 Th 0.0000 0.0000 0.2281
Th2 Th 0.0000 0.0000 0.4377
Ir1 Ir 0.0000 0.0000 0.8334

Calculated spin magnetization, 0.0; 0.0; 0.0; 0.0; 0.0; 0.0; 0.0; 0.0; 0.0; 0.0; 0.0; 0.0 μB per formula unit (same order as the records).